Below is a geometry-optimized RbSmMoO5 structure, with properties calculated at the PBE with a Hubbard U level.

The structure in CIF format:
```
data_RbSmMoO5
_chemical_formula_sum 'Rb4 Sm4 Mo4 O20'
_space_group_name_H-M_alt 'C 1 2/c 1'
_space_group_IT_number 15
_space_group_name_Hall '-C 2yc'
_cell_length_a 7.9611
_cell_length_b 10.5198
_cell_length_c 8.3500
_cell_angle_alpha 90.00
_cell_angle_beta 114.95
_cell_angle_gamma 90.00
loop_
_atom_site_label
_atom_site_type_symbol
_atom_site_fract_x
_atom_site_fract_y
_atom_site_fract_z
_atom_site_occupancy
Rb1 Rb 0.0000 0.1779 0.2500 1
Sm1 Sm 0.0000 0.5000 0.0000 1
Mo1 Mo 0.0000 0.1851 0.7500 1
O1 O 0.0000 0.4317 0.2500 1
O2 O 0.0846 0.2845 0.6238 1
O3 O 0.1814 0.0836 0.8963 1
```

Computed properties:
Total energy: -6.940 eV per atom
Crystal system: monoclinic
Mass density: 4.3 Mg/m³